La5In4Pd | GGA-PBE | relaxed

POSCAR file:
```
La5In4Pd
1.0
3.731 0.000 0.000
0.000 3.731 0.000
0.000 0.000 21.243
La In Pd
5 4 1
Direct
0.000 0.000 0.000 La
0.000 0.000 0.208 La
0.000 0.000 0.416 La
0.000 0.000 0.584 La
0.000 0.000 0.792 La
0.500 0.500 0.104 In
0.500 0.500 0.311 In
0.500 0.500 0.689 In
0.500 0.500 0.896 In
0.500 0.500 0.500 Pd
```

Output
SG: P4/mmm (123)
magnetization: 0.00 μB per atom
DOS at the Fermi energy: 0.632 states/eV per atom
energy relative to the elements: -545 kJ/mol of formula units

La2In9Pd3 | GGA-PBE | relaxed

POSCAR file:
```
La2In9Pd3
1.0
7.295 -4.209 0.000
7.295 4.209 0.000
-4.854 0.000 10.554
La In Pd
4 18 6
Direct
0.085 0.251 0.251 La
0.251 0.085 0.751 La
0.749 0.915 0.249 La
0.915 0.749 0.749 La
0.019 0.864 0.075 In
0.136 0.981 0.425 In
0.186 0.358 0.575 In
0.203 0.581 0.252 In
0.306 0.480 0.939 In
0.358 0.186 0.075 In
0.367 0.633 0.750 In
0.419 0.797 0.248 In
0.480 0.306 0.439 In
0.520 0.694 0.561 In
0.581 0.203 0.752 In
0.633 0.367 0.250 In
0.642 0.814 0.925 In
0.694 0.520 0.061 In
0.797 0.419 0.748 In
0.814 0.642 0.425 In
0.864 0.019 0.575 In
0.981 0.136 0.925 In
0.000 0.500 0.000 Pd
0.165 0.668 0.500 Pd
0.332 0.835 0.000 Pd
0.500 0.000 0.500 Pd
0.668 0.165 0.000 Pd
0.835 0.332 0.500 Pd
```

Output
SG: C2/c (15)
magnetization: 0.00 μB per atom
DOS at the Fermi energy: 0.410 states/eV per atom
energy relative to the elements: -671 kJ/mol of formula units

LaInPd3 | GGA-PBE | relaxed

POSCAR file:
```
LaInPd3
1.0
5.192 0.000 0.000
0.000 5.192 0.000
0.000 0.000 5.192
La In Pd
1 1 3
Direct
0.000 0.000 0.000 La
0.500 0.500 0.500 In
0.000 0.000 0.500 Pd
0.000 0.500 0.000 Pd
0.500 0.000 0.000 Pd
```

Output
SG: Pm-3m (221)
magnetization: 0.00 μB per atom
DOS at the Fermi energy: 0.627 states/eV per atom
energy relative to the elements: 192 kJ/mol of formula units

La6InPd2 | GGA-PBE | relaxed

POSCAR file:
```
La6InPd2
1.0
-4.898 5.267 5.482
4.898 -5.267 5.482
4.898 5.267 -5.482
La In Pd
12 2 4
Direct
0.049 0.241 0.808 La
0.177 0.290 0.467 La
0.177 0.710 0.887 La
0.333 0.024 0.691 La
0.333 0.642 0.309 La
0.433 0.241 0.192 La
0.567 0.759 0.808 La
0.667 0.358 0.691 La
0.667 0.976 0.309 La
0.823 0.290 0.113 La
0.823 0.710 0.533 La
0.951 0.759 0.192 La
0.000 0.000 0.000 In
0.500 0.500 0.000 In
0.133 0.633 0.500 Pd
0.313 0.000 0.313 Pd
0.687 0.000 0.687 Pd
0.867 0.367 0.500 Pd
```

Output
SG: Immm (71)
magnetization: 0.00 μB per atom
DOS at the Fermi energy: 1.106 states/eV per atom
energy relative to the elements: -415 kJ/mol of formula units

La2In12Pd7 | GGA-PBE | relaxed

POSCAR file:
```
La2In12Pd7
1.0
10.844 0.000 0.000
-5.422 9.391 0.000
0.000 0.000 4.504
La In Pd
2 12 7
Direct
0.000 0.000 0.000 La
0.333 0.667 0.500 La
0.027 0.282 0.500 In
0.143 0.746 0.000 In
0.254 0.397 0.000 In
0.255 0.973 0.500 In
0.373 0.194 0.000 In
0.540 0.418 0.500 In
0.582 0.122 0.500 In
0.603 0.857 0.000 In
0.718 0.745 0.500 In
0.806 0.179 0.000 In
0.821 0.627 0.000 In
0.878 0.460 0.500 In
0.032 0.457 0.000 Pd
0.243 0.228 0.500 Pd
0.425 0.968 0.000 Pd
0.543 0.575 0.000 Pd
0.667 0.333 0.000 Pd
0.772 0.015 0.500 Pd
0.985 0.757 0.500 Pd
```

Output
SG: P-6 (174)
magnetization: 0.00 μB per atom
DOS at the Fermi energy: 0.435 states/eV per atom
energy relative to the elements: -1037 kJ/mol of formula units

La3In12Pd | GGA-PBE | relaxed

POSCAR file:
```
La3In12Pd
1.0
4.780 0.000 0.000
0.000 4.780 0.000
0.000 0.000 18.154
La In Pd
3 12 1
Direct
0.000 0.000 0.000 La
0.000 0.000 0.266 La
0.000 0.000 0.734 La
0.000 0.500 0.132 In
0.000 0.500 0.396 In
0.000 0.500 0.604 In
0.000 0.500 0.868 In
0.500 0.000 0.132 In
0.500 0.000 0.396 In
0.500 0.000 0.604 In
0.500 0.000 0.868 In
0.500 0.500 0.000 In
0.500 0.500 0.260 In
0.500 0.500 0.500 In
0.500 0.500 0.740 In
0.000 0.000 0.500 Pd
```

Output
SG: P4/mmm (123)
magnetization: 0.00 μB per atom
DOS at the Fermi energy: 0.535 states/eV per atom
energy relative to the elements: -600 kJ/mol of formula units

La7In2Pd2 | GGA-PBE | relaxed

POSCAR file:
```
La7In2Pd2
1.0
4.240 -5.856 0.000
4.240 5.856 0.000
0.000 0.000 7.321
La In Pd
7 2 2
Direct
0.000 0.000 0.000 La
0.000 0.500 0.266 La
0.000 0.500 0.734 La
0.500 0.000 0.266 La
0.500 0.000 0.734 La
0.500 0.500 0.249 La
0.500 0.500 0.751 La
0.168 0.168 0.500 In
0.832 0.832 0.500 In
0.283 0.717 0.000 Pd
0.717 0.283 0.000 Pd
```

Output
SG: Cmmm (65)
magnetization: 0.00 μB per atom
DOS at the Fermi energy: 1.192 states/eV per atom
energy relative to the elements: -394 kJ/mol of formula units

La2In3Pd4 | GGA-PBE | relaxed

POSCAR file:
```
La2In3Pd4
1.0
3.079 -8.617 0.000
3.079 8.617 0.000
0.000 0.000 7.485
La In Pd
4 6 8
Direct
0.105 0.895 0.921 La
0.395 0.605 0.421 La
0.605 0.395 0.579 La
0.895 0.105 0.079 La
0.000 0.000 0.500 In
0.014 0.486 0.750 In
0.486 0.014 0.250 In
0.500 0.500 0.000 In
0.514 0.986 0.750 In
0.986 0.514 0.250 In
0.166 0.834 0.523 Pd
0.177 0.323 0.750 Pd
0.323 0.177 0.250 Pd
0.334 0.666 0.023 Pd
0.666 0.334 0.977 Pd
0.677 0.823 0.750 Pd
0.823 0.677 0.250 Pd
0.834 0.166 0.477 Pd
```

Output
SG: Cmce (64)
magnetization: 0.00 μB per atom
DOS at the Fermi energy: 0.682 states/eV per atom
energy relative to the elements: -627 kJ/mol of formula units